YCrO3 | GGA-PBEsol | optimized geometry

a = 5.194 Å, b = 5.525 Å, c = 7.484 Å
α = 90.00°, β = 90.00°, γ = 90.00°
Last column: magnetic moment on the atom in μB.
Atoms (fractional coordinates):
Y: 0.020 0.929 0.750  0.04
Y: 0.520 0.571 0.250  0.04
Y: 0.480 0.429 0.750  0.04
Y: 0.980 0.071 0.250  0.04
Cr: 0.500 0.000 0.500  2.73
Cr: 0.000 0.500 0.000  2.73
Cr: 0.000 0.500 0.500  2.73
Cr: 0.500 0.000 0.000  2.73
O: 0.108 0.464 0.250  0.02
O: 0.608 0.036 0.750  0.02
O: 0.392 0.964 0.250  0.02
O: 0.892 0.536 0.750  0.02
O: 0.692 0.303 0.445  0.03
O: 0.192 0.197 0.555  0.03
O: 0.808 0.803 0.055  0.03
O: 0.308 0.697 0.945  0.03
O: 0.308 0.697 0.555  0.03
O: 0.808 0.803 0.445  0.03
O: 0.192 0.197 0.945  0.03
O: 0.692 0.303 0.055  0.03

Computed properties:
Electronic total energy (eV/atom): -9.395
Space group: Pnma